# AlGa2SbO8

A relaxed structure of AlGa2SbO8 (PBE, the Alexandria database).

Summary:
ΔE_f (raw) (eV per atom): -1.376

```
12
Lattice="5.5886 0.5172 0.0000 -2.0151 5.2383 0.0000 -1.7867 -2.8777 4.4751" Properties=species:S:1:pos:R:3 pbc="T T T"
O 2.8700 -1.3699 3.1608
O -0.0488 1.5911 3.5944
O 3.2344 3.5397 0.8807
O 1.3012 -0.3959 1.3142
O 0.3390 2.2157 0.8807
O 2.7186 1.8871 3.1608
O 4.2875 0.9131 1.3142
O 0.0487 -1.5911 3.5944
Al 0.0000 0.0000 0.0000
Sb -1.0076 2.6191 2.2375
Ga 1.7867 2.8777 0.0000
Ga 2.7943 0.2586 2.2375
```

# ScAlGa2O6

A relaxed structure of ScAlGa2O6 (PBE, the Alexandria database).

Summary:
ΔE_f (raw) (eV per atom): -2.538

```
20
Lattice="-2.2086 4.3131 2.0318 -0.0417 -2.0869 6.1965 5.6043 3.0436 1.4428" Properties=species:S:1:pos:R:3 pbc="T T T"
Ga 2.7857 4.1692 6.2277
Ga 0.5141 4.2115 3.5752
Ga 2.8399 1.0584 6.0960
Ga 0.5682 1.1006 3.4434
O 4.0925 4.0809 7.5871
O 0.1726 2.6124 4.5134
O 4.0820 0.9113 7.5098
O 2.2749 4.1270 3.0501
O 0.6513 -0.5084 4.3309
O -0.7280 4.3586 2.1614
O 1.0791 1.1429 6.6211
O -0.7385 1.1890 2.0841
O 2.2661 1.3547 2.6646
O 2.7026 5.7783 5.3403
O 3.1814 2.6575 5.1578
O 1.0879 3.9152 7.0066
Sc -0.0450 -0.5098 6.2423
Sc 3.3989 5.7797 3.4289
Al 3.5057 2.7167 3.2528
Al -0.1518 2.5532 6.4184
```